An optimized crystal structure of RbNpCdSe3, computed with GGA-PBE.

a = 4.3417 Å, b = 9.2394 Å, c = 10.4230 Å
α = 108.40°, β = 90.00°, γ = 90.00°
Closest atoms and distances in Å follow each position.
Element x y z (fractional)
Cd: 0.2500 0.0861 0.6119  4 Se 2.63-2.80
Cd: 0.7500 0.9139 0.3881  4 Se 2.63-2.80
Se: 0.2500 0.7783 0.4559  3 Cd 2.71-2.80
Se: 0.7500 0.8867 0.1297  1 Cd 2.63
Se: 0.7500 0.2217 0.5441  3 Cd 2.71-2.80
Se: 0.7500 0.4680 0.1493  3 Np 2.87-2.90
Se: 0.2500 0.1133 0.8703  1 Cd 2.63
Se: 0.2500 0.5320 0.8507  3 Np 2.87-2.90
Np: 0.7500 0.3279 0.8617  6 Se 2.87-3.14
Np: 0.2500 0.6721 0.1383  6 Se 2.87-3.14
Rb: 0.7500 0.7834 0.7631  7 Se 3.50-3.86
Rb: 0.2500 0.2166 0.2369  7 Se 3.50-3.86

Summary:
**M_tot**: 4.000 μB per formula unit
**Raw formation energy**: -1.000 eV per atom
**ρ**: 5.6 g/cm³
**Symmetry**: P2_1/m, No. 11

An optimized crystal structure of MnCd3Hg, computed with GGA-PBE.

a = 5.2979 Å, b = 5.2979 Å, c = 5.2979 Å
α = 90.00°, β = 90.00°, γ = 90.00°
Closest atoms and distances in Å follow each position.
Element x y z (fractional)
Cd: 0.0000 0.5000 0.0000  2 Mn 2.65
Cd: 0.0000 0.0000 0.5000  2 Mn 2.65
Cd: 0.5000 0.0000 0.0000  2 Mn 2.65
Mn: 0.0000 0.0000 0.0000  6 Cd 2.65
Hg: 0.5000 0.5000 0.5000  12 Cd 3.75

Summary:
**M_tot**: 3.942 μB per formula unit
**Formation energy from the elements**: 0.48 eV per atom
**ρ**: 6.6 g/cm³
**Relative energy among the computed polymorphs**: 0 meV/atom
**Symmetry**: Pm-3m, No. 221